{"formula": "PmY2Th3S6", "functional": "PBE-GGA", "state": "relaxed", "formation_energy_uncorrected_kcal_per_mol_atoms": -44.008, "crystal_system": "monoclinic", "space_group": "C2/m, No. 12", "magnetic_moment_mub_per_cell": 0.00, "energy_ev_per_fu": -87.60, "lattice": [[3.435, -5.900, 0.000], [3.435, 5.900, 0.000], [-2.251, 0.000, 6.698]], "species": ["Pm", "Y", "Y", "Th", "Th", "Th", "S", "S", "S", "S", "S", "S"], "fractional_positions": [[0.000, 0.000, 0.000], [0.333, 0.667, 0.000], [0.667, 0.333, 0.000], [0.164, 0.836, 0.500], [0.500, 0.500, 0.500], [0.836, 0.164, 0.500], [0.080, 0.420, 0.240], [0.261, 0.261, 0.764], [0.420, 0.080, 0.240], [0.580, 0.920, 0.760], [0.739, 0.739, 0.236], [0.920, 0.580, 0.760]]}